Computed, not measured: a relaxed structure of Li14CaMg at the PBE level of DFT.

The structure in extended XYZ format:
```
16
Lattice="-5.542 1.127 2.634 -1.604 -5.191 -3.067 2.349 -4.879 7.028" Properties=species:S:1:pos:R:3 pbc="T T T"
Li -2.098 -4.399 -2.353
Li -4.065 -1.244 0.495
Li -0.134 -4.252 2.693
Li -1.291 -1.805 -0.821
Li -3.680 -6.268 2.478
Li -4.870 -3.840 -1.038
Li -0.407 -3.938 6.007
Li -1.667 -1.320 2.236
Li -4.113 -6.046 5.783
Li -5.374 -3.428 2.011
Li -1.254 -6.595 4.330
Li -2.466 -4.078 0.704
Li -3.318 -3.284 7.319
Li -4.530 -0.766 3.692
Ca -2.898 -3.671 4.020
Mg -0.917 -6.849 1.152
```

Calculated values
The density of states at the Fermi level comes out at 0.402 states/eV/atom. The value obtained for the total magnetization is 0.0 Bohr magnetons per cell. The space-group type is Amm2 (38). The calculated total energy is -30.2 eV for the cell shown. The calculation puts the energy of formation at 0.234 eV/f.u.